First-principles (GGA-PBE) data for a relaxed structure of Hf2CoNiH, as listed in the Alexandria database.

Cell lengths 4.453, 4.453, 3.321 Å; angles 90.00, 90.00, 90.00 degrees
Space group P4/mmm (No. 123)
Symmetry-distinct sites (fractional):
Hf (0.000, 0.500, 0.000) x2
Co (0.000, 0.000, 0.500) x1
Ni (0.500, 0.500, 0.500) x1
H (0.000, 0.000, 0.000) x1

Values from the calculation:
The energy above the most stable polymorph in this dataset is 0.000 eV/atom. The electronic total energy is -7.59 eV/atom. The calculation puts the total magnetization at 0.00 μB per formula unit.



First-principles (GGA-PBE) data for a relaxed structure of PmSmSnHg, as listed in the Alexandria database.

Cell lengths 7.637, 7.637, 7.637 Å; angles 90.00, 90.00, 90.00 degrees
Space group F-43m (No. 216)
Symmetry-distinct sites (fractional):
Pm (0.000, 0.000, 0.000) x4
Sm (0.000, 0.000, 0.500) x4
Sn (0.250, 0.250, 0.750) x4
Hg (0.250, 0.250, 0.250) x4

Values from the calculation:
The energy above the most stable polymorph in this dataset is 0.000 eV/atom. The electronic total energy is -4.04 eV/atom. The calculation puts the total magnetization at 0.00 μB per formula unit. As for the formation energy: -0.5986 eV per atom.



What is the electronic total energy in the second record? -4.04 eV/atom